1.
First-principles (PBE) data for a geometry-optimized TcHSe2 structure, as listed in Alexandria via LeMat-Bulk.

**Excess energy over the best structure of this formula in the dataset**: 0.286 eV/atom
**Volume**: 70 Å³/f.u.
**Size of the total moment**: 0.00 μB per formula unit

Unit cell a=8.150 b=8.150 c=8.150 alpha=22.53 beta=22.53 gamma=22.53
Element x y z (fractional)
H 0.976 0.976 0.976
Tc 0.524 0.524 0.524
Se 0.123 0.123 0.123
Se 0.628 0.628 0.628

=====

2.
First-principles (PBE) data for a geometry-optimized NaScGe2 structure, as listed in Alexandria via LeMat-Bulk.

**Excess energy over the best structure of this formula in the dataset**: 0.049 eV/atom
**Volume**: 77 Å³/f.u.
**Size of the total moment**: 0.00 μB per formula unit
**Formation enthalpy at 0 K**: -302 meV/atom

Unit cell a=4.087 b=4.342 c=4.342 alpha=90.00 beta=90.00 gamma=90.00
Element x y z (fractional)
Sc 0.500 0.000 0.000
Na 0.500 0.500 0.500
Ge 0.000 0.000 0.500
Ge 0.000 0.500 0.000

=====

3.
First-principles (PBE) data for a geometry-optimized MnICl3 structure, as listed in Alexandria via LeMat-Bulk.

**Excess energy over the best structure of this formula in the dataset**: 0.759 eV/atom
**Volume**: 106 Å³/f.u.
**Size of the total moment**: 0.65 μB per formula unit

Unit cell a=4.739 b=4.739 c=4.739 alpha=90.00 beta=90.00 gamma=90.00
Site moments in Bohr magnetons follow the coordinates.
Element x y z (fractional)
I 0.500 0.500 0.500  -0.28
Mn 0.000 0.000 0.000  -0.13
Cl 0.000 0.500 0.000  -0.01
Cl 0.000 0.000 0.500  -0.06
Cl 0.500 0.000 0.000  -0.01

=====

4.
First-principles (PBE) data for a geometry-optimized Li2RePb structure, as listed in Alexandria via LeMat-Bulk.

**Volume**: 70 Å³/f.u.
**Size of the total moment**: 0.00 μB per formula unit
**Formation enthalpy at 0 K**: 436 meV/atom

Unit cell a=5.615 b=5.615 c=5.615 alpha=148.11 beta=131.11 gamma=59.56
Element x y z (fractional)
Li 0.008 0.008 0.000
Li 0.492 0.492 0.000
Pb 0.750 0.250 0.500
Re 0.250 0.750 0.500

=====

5.
First-principles (PBE) data for a geometry-optimized Ac4Ga2S structure, as listed in Alexandria via LeMat-Bulk.

**Excess energy over the best structure of this formula in the dataset**: 0.194 eV/atom
**Volume**: 258 Å³/f.u.
**Size of the total moment**: 0.00 μB per formula unit

Unit cell a=5.854 b=5.854 c=8.597 alpha=109.90 beta=109.90 gamma=90.00
Element x y z (fractional)
Ac 0.800 0.800 0.601
Ac 0.200 0.200 0.399
Ac 0.000 0.500 0.000
Ac 0.500 0.000 0.000
S 0.000 0.000 0.000
Ga 0.596 0.596 0.192
Ga 0.404 0.404 0.808